Below is a geometry-optimized TaCl3O structure, with properties calculated at the PBE level.

abc: 8.1273 10.0174 10.5768
angles: 90.00 98.43 90.00
Atoms (fractional coordinates):
Ta1 0.0957 0.1300 0.1376
Ta2 0.0957 0.8700 0.6376
Ta3 0.9043 0.1300 0.3624
Ta4 0.9043 0.8700 0.8624
Cl1 0.0581 0.1168 0.5994
Cl2 0.0581 0.8832 0.0994
Cl3 0.0841 0.3556 0.1024
Cl4 0.0841 0.6444 0.6024
Cl5 0.3589 0.1030 0.0851
Cl6 0.3589 0.8970 0.5851
Cl7 0.6411 0.1030 0.4149
Cl8 0.6411 0.8970 0.9149
Cl9 0.9159 0.3556 0.3976
Cl10 0.9159 0.6444 0.8976
Cl11 0.9419 0.1168 0.9006
Cl12 0.9419 0.8832 0.4006
O1 0.1416 0.1225 0.3143
O2 0.1416 0.8775 0.8143
O3 0.8584 0.1225 0.1857
O4 0.8584 0.8775 0.6857



Below is a geometry-optimized TaClO2 structure, with properties calculated at the PBE level.

abc: 7.9455 7.9455 7.9455
angles: 22.49 22.49 22.49
Atoms (fractional coordinates):
Ta1 0.0000 0.0000 0.0000
Cl1 0.5000 0.5000 0.5000
O1 0.0791 0.0791 0.0791
O2 0.9209 0.9209 0.9209



Below is a geometry-optimized TaClO structure, with properties calculated at the PBE level.

abc: 5.5172 5.5172 7.1221
angles: 104.47 104.47 37.76
Atoms (fractional coordinates):
Ta1 0.1195 0.1195 0.4628
Ta2 0.8805 0.8805 0.5372
Cl1 0.0952 0.0952 0.7922
Cl2 0.9048 0.9048 0.2078
O1 0.3332 0.3332 0.6284
O2 0.6668 0.6668 0.3716



Below is a geometry-optimized Tb3TaCl2O6 structure, with properties calculated at the PBE level.

abc: 6.6414 6.6414 5.5351
angles: 99.14 99.14 59.29
Atoms (fractional coordinates):
Tb1 0.0000 0.0000 0.0000
Tb2 0.0000 0.5000 0.5000
Tb3 0.5000 0.0000 0.5000
Ta1 0.5000 0.5000 0.5000
Cl1 0.2066 0.2066 0.8504
Cl2 0.7934 0.7934 0.1496
O1 0.2069 0.6780 0.7032
O2 0.3220 0.7931 0.2968
O3 0.3324 0.3324 0.3297
O4 0.6676 0.6676 0.6703
O5 0.6780 0.2069 0.7032
O6 0.7931 0.3220 0.2968



Below is a geometry-optimized Ta3Te4ClO15 structure, with properties calculated at the PBE level.

abc: 10.4693 10.4693 21.6007
angles: 114.51 114.51 43.95
Atoms (fractional coordinates):
Ta1 0.0064 0.7544 0.5088
Ta2 0.1416 0.3517 0.2527
Ta3 0.2456 0.9936 0.9912
Ta4 0.2577 0.5002 0.0124
Ta5 0.3517 0.1416 0.7527
Ta6 0.5002 0.2577 0.5124
Ta7 0.4998 0.7423 0.4876
Ta8 0.6483 0.8584 0.2473
Ta9 0.7423 0.4998 0.9876
Ta10 0.7544 0.0064 0.0088
Ta11 0.8584 0.6483 0.7473
Ta12 0.9936 0.2456 0.4912
Te1 0.0166 0.8859 0.3713
Te2 0.1006 0.2434 0.8759
Te3 0.1141 0.9834 0.1287
Te4 0.2434 0.1006 0.3759
Te5 0.2595 0.3817 0.6424
Te6 0.3654 0.4978 0.8639
Te7 0.3817 0.2595 0.1424
Te8 0.4978 0.3654 0.3639
Te9 0.5022 0.6346 0.6361
Te10 0.6183 0.7405 0.8576
Te11 0.6346 0.5022 0.1361
Te12 0.7405 0.6183 0.3576
Te13 0.7566 0.8994 0.6241
Te14 0.8859 0.0166 0.8713
Te15 0.8994 0.7566 0.1241
Te16 0.9834 0.1141 0.6287
Cl1 0.0151 0.9849 0.2500
Cl2 0.4804 0.5196 0.7500
Cl3 0.5196 0.4804 0.2500
Cl4 0.9849 0.0151 0.7500
O1 0.0210 0.8350 0.4473
O2 0.0272 0.2967 0.4191
O3 0.0285 0.7563 0.0368
O4 0.0743 0.2057 0.1809
O5 0.1120 0.4234 0.7468
O6 0.1268 0.8519 0.5912
O7 0.1336 0.3084 0.5669
O8 0.1387 0.4003 0.9499
O9 0.1481 0.8732 0.9088
O10 0.1587 0.2707 0.3254
O11 0.1625 0.4149 0.1818
O12 0.1650 0.9790 0.0527
O13 0.2057 0.0743 0.6809
O14 0.2409 0.4735 0.3269
O15 0.2427 0.5141 0.5083
O16 0.2437 0.9715 0.4632
O17 0.2632 0.4457 0.0939
O18 0.2696 0.5372 0.9343
O19 0.2707 0.1587 0.8254
O20 0.2967 0.0272 0.9191
O21 0.3084 0.1336 0.0669
O22 0.4003 0.1387 0.4499
O23 0.4002 0.5847 0.0804
O24 0.4149 0.1625 0.6818
O25 0.4153 0.5998 0.4196
O26 0.4234 0.1120 0.2468
O27 0.4457 0.2632 0.5939
O28 0.4628 0.7304 0.5657
O29 0.4735 0.2409 0.8269
O30 0.4859 0.7573 0.9917
O31 0.5141 0.2427 0.0083
O32 0.5265 0.7591 0.1731
O33 0.5372 0.2696 0.4343
O34 0.5543 0.7368 0.4061
O35 0.5766 0.8880 0.7532
O36 0.5847 0.4002 0.5804
O37 0.5851 0.8375 0.3182
O38 0.5998 0.4153 0.9196
O39 0.5997 0.8613 0.5501
O40 0.6916 0.8664 0.9331
O41 0.7033 0.9728 0.0809
O42 0.7293 0.8413 0.1746
O43 0.7304 0.4628 0.0657
O44 0.7368 0.5543 0.9061
O45 0.7563 0.0285 0.5368
O46 0.7573 0.4859 0.4917
O47 0.7591 0.5265 0.6731
O48 0.7943 0.9257 0.3191
O49 0.8350 0.0210 0.9473
O50 0.8375 0.5851 0.8182
O51 0.8413 0.7293 0.6746
O52 0.8519 0.1268 0.0912
O53 0.8613 0.5997 0.0501
O54 0.8664 0.6916 0.4331
O55 0.8732 0.1481 0.4088
O56 0.8880 0.5766 0.2532
O57 0.9257 0.7943 0.8191
O58 0.9715 0.2437 0.9632
O59 0.9728 0.7033 0.5809
O60 0.9790 0.1650 0.5527



Below is a geometry-optimized TaTe2ClO structure, with properties calculated at the PBE level.

abc: 5.5723 5.5723 3.8062
angles: 90.00 90.00 90.00
Atoms (fractional coordinates):
Ta1 0.0000 0.0000 0.0000
Te1 0.0000 0.5000 0.5000
Te2 0.5000 0.0000 0.5000
Cl1 0.5000 0.5000 0.0000
O1 0.0000 0.0000 0.5000



Electronic total energy readings, ordered: -6.194; -5.898; -7.786; -7.747; -7.261; -4.902 eV/atom
Raw formation energy readings, ordered: -1724; 6; -1567; -2815; -1855; 86 meV per atom